NaMg2Cd2Sn2 | GGA-PBE | optimized geometry

Output
DFT formation energy = -0.10 eV per atom
M_tot = 0.00 Bohr magnetons per cell
Space group = R-3m, No. 166

Cell: 8.978 8.978 8.978 Å, 31.94 31.94 31.94°
Positions (direct):
Na1 0.000 0.000 0.000
Mg1 0.139 0.139 0.139
Mg2 0.861 0.861 0.861
Cd1 0.437 0.437 0.437
Cd2 0.563 0.563 0.563
Sn1 0.260 0.260 0.260
Sn2 0.740 0.740 0.740